No. 1
The following is a PBEsol calculation of a geometry-optimized NiSeS2 structure, from Alexandria via LeMat-Bulk.

Lattice parameters (Å, degrees): 3.5674 3.5674 21.2718 90.00 90.00 120.00
Space group R-3m (No. 166, hexagonal axes)
Unique sites:
Ni 0.0000 0.0000 0.0000
Se 0.0000 0.0000 0.5000
S 0.0000 0.0000 0.0956

Formation energy without anion corrections ... 36 kJ/mol of atoms

---

No. 2
The following is a PBEsol calculation of a geometry-optimized Pr3NF6 structure, from Alexandria via LeMat-Bulk.

Lattice parameters (Å, degrees): 13.4066 3.9474 5.8729 90.00 115.15 90.00
Space group Cm (No. 8)
Unique sites:
Pr 0.0000 0.0000 0.0000
Pr 0.1374 0.5000 0.6818
Pr 0.3224 0.0000 0.3788
N 0.4819 0.0000 0.7495
F 0.1481 0.0000 0.4562
F 0.1746 0.0000 0.9211
F 0.1786 0.5000 0.2086
F 0.3199 0.5000 0.6505
F 0.3507 0.5000 0.1452
F 0.4864 0.0000 0.2728

Formation energy without anion corrections ... -341 kJ/mol of atoms

---

No. 3
The following is a PBEsol calculation of a geometry-optimized Li4Mn2Fe3Cu3O16 structure, from Alexandria via LeMat-Bulk.

Lattice parameters (Å, degrees): 10.1707 5.5476 9.1467 90.00 94.02 90.00
Space group Cm (No. 8)
Unique sites:
Li 0.0000 0.0000 0.0000
Li 0.0132 0.0000 0.5070
Li 0.1743 0.5000 0.0986
Li 0.3595 0.0000 0.6023
Mn 0.1823 0.5000 0.5069
Mn 0.3338 0.0000 0.0070
Fe 0.3360 0.5000 0.7817
Fe 0.4247 0.2379 0.2834
Cu 0.0956 0.2526 0.7864
Cu 0.1778 0.0000 0.2867
O 0.0009 0.0000 0.1938
O 0.0449 0.5000 0.6470
O 0.0864 0.2620 0.4012
O 0.1662 0.0000 0.9126
O 0.1887 0.5000 0.8824
O 0.2689 0.2890 0.6375
O 0.2787 0.2249 0.1533
O 0.3486 0.5000 0.3856
O 0.3506 0.0000 0.3928
O 0.4007 0.2449 0.9003
O 0.4875 0.0000 0.1543
O 0.4973 0.5000 0.7007

Formation energy without anion corrections ... -130 kJ/mol of atoms

---

No. 4
The following is a PBEsol calculation of a geometry-optimized FeH2SO5 structure, from Alexandria via LeMat-Bulk.

Lattice parameters (Å, degrees): 6.7541 7.8540 7.5232 90.00 116.17 90.00
Space group C2/c (No. 15)
Unique sites:
Fe 0.2500 0.2500 0.0000
H 0.0935 0.0401 0.7067
S 0.0000 0.4141 0.2500
O 0.0000 0.1136 0.7500
O 0.0153 0.3077 0.0953
O 0.2010 0.4742 0.8400

E_tot ... -6.32 eV per atom

---

No. 5
The following is a PBEsol calculation of a geometry-optimized TaCo2Pb structure, from Alexandria via LeMat-Bulk.

Lattice parameters (Å, degrees): 3.3186 3.3368 5.5682 90.00 90.00 90.00
Space group Pmm2 (No. 25)
Unique sites:
Ta 0.0000 0.0000 0.0000
Co 0.0000 0.0000 0.4150
Co 0.5000 0.5000 0.1515
Pb 0.5000 0.5000 0.6357

E_tot ... -7.67 eV per atom

---

No. 6
The following is a PBEsol calculation of a geometry-optimized YAs2Se structure, from Alexandria via LeMat-Bulk.

Lattice parameters (Å, degrees): 4.0533 3.8282 5.7860 90.00 104.68 90.00
Space group P2/m (No. 10)
Unique sites:
Y 0.0000 0.0000 0.0000
As 0.4287 0.5000 0.7785
Se 0.0000 0.0000 0.5000

Formation energy without anion corrections ... -65 kJ/mol of atoms

---

No. 7
The following is a PBEsol calculation of a geometry-optimized BeCd2As structure, from Alexandria via LeMat-Bulk.

Lattice parameters (Å, degrees): 2.7641 5.1195 5.1372 90.00 90.00 90.00
Space group Pmmm (No. 47)
Unique sites:
Be 0.0000 0.0000 0.0000
Cd 0.0000 0.5000 0.5000
Cd 0.5000 0.0000 0.5000
As 0.5000 0.5000 0.0000

ΔE to the lowest computed polymorph ... 0.028 eV per atom

---

No. 8
The following is a PBEsol calculation of a geometry-optimized InAg2Cl structure, from Alexandria via LeMat-Bulk.

Lattice parameters (Å, degrees): 3.3503 3.3503 24.2680 90.00 90.00 120.00
Space group R-3m (No. 166, hexagonal axes)
Unique sites:
In 0.0000 0.0000 0.0000
Ag 0.0000 0.0000 0.2472
Cl 0.0000 0.0000 0.5000

Formation energy without anion corrections ... -16 kJ/mol of atoms

---

No. 9
The following is a PBEsol calculation of a geometry-optimized Ti2CuSi2 structure, from Alexandria via LeMat-Bulk.

Lattice parameters (Å, degrees): 6.1365 6.1365 3.7057 90.00 90.00 90.00
Space group P4/mbm (No. 127)
Unique sites:
Ti 0.1723 0.3277 0.0000
Cu 0.0000 0.0000 0.5000
Si 0.1327 0.6327 0.5000

Formation energy without anion corrections ... -60 kJ/mol of atoms

---

No. 10
The following is a PBEsol calculation of a geometry-optimized SrAlGaI2 structure, from Alexandria via LeMat-Bulk.

Lattice parameters (Å, degrees): 5.7833 5.7833 5.0121 90.00 90.00 90.00
Space group P4/mmm (No. 123)
Unique sites:
Sr 0.0000 0.0000 0.0000
Al 0.5000 0.5000 0.0000
Ga 0.5000 0.5000 0.5000
I 0.0000 0.5000 0.5000

Formation energy without anion corrections ... -24 kJ/mol of atoms

---

No. 11
The following is a PBEsol calculation of a geometry-optimized SiSbO3 structure, from Alexandria via LeMat-Bulk.

Lattice parameters (Å, degrees): 3.7003 3.7003 3.7003 90.00 90.00 90.00
Space group Pm-3m (No. 221)
Unique sites:
Si 0.0000 0.0000 0.0000
Sb 0.5000 0.5000 0.5000
O 0.0000 0.0000 0.5000

Formation energy without anion corrections ... -141 kJ/mol of atoms

---

No. 12
The following is a PBEsol calculation of a geometry-optimized Al2Bi2Sb structure, from Alexandria via LeMat-Bulk.

Lattice parameters (Å, degrees): 7.7065 7.7065 4.1525 90.00 90.00 90.00
Space group P4/mbm (No. 127)
Unique sites:
Al 0.1241 0.3759 0.0000
Bi 0.1787 0.6787 0.5000
Sb 0.0000 0.0000 0.0000

Formation energy without anion corrections ... 19 kJ/mol of atoms